one) The following is a DFT calculation (meta-GGA SCAN) of a crystal of MnBeZn relaxed with PBEsol.

Results
symmetry: F-43m
DOS(E_F): 0.3352 states/eV per atom

Unit cell a=3.7429 b=3.7429 c=3.7429 alpha=60.00 beta=60.00 gamma=60.00
Positions (direct):
Be 0.2500 0.2500 0.2500
Zn 0.5000 0.5000 0.5000
Mn 0.0000 0.0000 0.0000

***

two) The following is a DFT calculation (meta-GGA SCAN) of a crystal of MnBeZn relaxed with PBEsol.

Results
symmetry: I4mm
DOS(E_F): 0.3232 states/eV per atom

Unit cell a=2.6350 b=2.6351 c=5.0327 alpha=105.15 beta=105.18 gamma=90.00
Positions (direct):
Be 0.0054 0.0055 0.0108
Zn 0.3431 0.3431 0.6861
Mn 0.6515 0.6515 0.3031

***

Stability summary - winner: two); margin: 21.1 kJ/mol of atoms.

***

one) The following is a DFT calculation (meta-GGA SCAN) of a crystal of Mn2BeZn relaxed with PBEsol.

Results
symmetry: P4mm
DOS(E_F): 0.1149 states/eV per atom

Unit cell a=2.6855 b=2.6855 c=5.7835 alpha=90.00 beta=90.00 gamma=90.00
Positions (direct):
Be 0.5000 0.5000 0.7721
Zn 0.0000 0.0000 0.5162
Mn 0.0000 0.0000 0.9993
Mn 0.5000 0.5000 0.2123

***

two) The following is a DFT calculation (meta-GGA SCAN) of a crystal of Mn2BeZn relaxed with PBEsol.

Results
symmetry: F-43m
DOS(E_F): 0.2697 states/eV per atom

Unit cell a=3.9188 b=3.9198 c=3.9188 alpha=60.01 beta=90.00 gamma=119.99
Positions (direct):
Be 0.7500 0.5000 0.7500
Zn 0.5000 0.0000 0.5000
Mn 0.0000 0.0000 0.0000
Mn 0.2500 0.5000 0.2500

***

three) The following is a DFT calculation (meta-GGA SCAN) of a crystal of Mn2BeZn relaxed with PBEsol.

Results
symmetry: Pmmm
DOS(E_F): 0.4349 states/eV per atom

Unit cell a=2.7437 b=3.8619 c=4.0489 alpha=90.00 beta=90.00 gamma=90.00
Positions (direct):
Be 0.0000 0.5000 0.5000
Zn 0.5000 0.0000 0.5000
Mn 0.0000 0.0000 0.0000
Mn 0.5000 0.5000 0.0000

***

Stability summary - winner: two); margin: 8.1 kJ/mol of atoms.

***

one) The following is a DFT calculation (meta-GGA SCAN) of a crystal of BeMo2 relaxed with PBEsol.

Results
symmetry: C2/m
DOS(E_F): 0.5208 states/eV per atom

Unit cell a=2.5826 b=4.6677 c=7.0364 alpha=77.06 beta=79.43 gamma=73.94
Positions (direct):
Be 0.3003 0.8195 0.5799
Be 0.6997 0.1805 0.4201
Mo 0.0185 0.6669 0.2961
Mo 0.6596 0.7813 0.8995
Mo 0.3404 0.2187 0.1005
Mo 0.9815 0.3331 0.7039

***

two) The following is a DFT calculation (meta-GGA SCAN) of a crystal of BeMo2 relaxed with PBEsol.

Results
symmetry: P6/mmm
DOS(E_F): 0.7802 states/eV per atom

Unit cell a=2.5379 b=4.3759 c=4.3759 alpha=120.00 beta=90.00 gamma=90.00
Positions (direct):
Be 0.5000 0.0000 0.0000
Mo 0.0000 0.3333 0.6667
Mo 0.0000 0.6667 0.3333

***

three) The following is a DFT calculation (meta-GGA SCAN) of a crystal of BeMo2 relaxed with PBEsol.

Results
symmetry: I4/mcm
DOS(E_F): 0.4720 states/eV per atom

Unit cell a=4.6635 b=4.6635 c=4.6635 alpha=104.80 beta=104.80 gamma=119.29
Positions (direct):
Be 0.7500 0.7500 0.0000
Be 0.2500 0.2500 0.0000
Mo 0.8332 0.3332 0.1665
Mo 0.1668 0.6668 0.8335
Mo 0.3332 0.1668 0.5000
Mo 0.6668 0.8332 0.5000

***

Stability summary - winner: three); margin: 24.7 kJ/mol of atoms.